# 1
Below is an optimized crystal structure of Dy2Y6Ho, with properties calculated at the PBE level.

Results
- E (eV per atom) = -5.77
- E_form (eV per atom) = 0.07
- energy above the most stable polymorph in this dataset (kJ/mol of atoms) = 4.4

a b c (Å): 13.3725 11.7020 9.0269
angles (deg): 90.00 125.15 90.00
Space group C2/c (No. 15)
Symmetry-distinct sites (fractional):
Dy 0.1077 0.1720 0.1947 [8 per cell]
Y 0.0826 0.3891 0.4872 [8 per cell]
Y 0.1527 0.3491 0.9065 [8 per cell]
Y 0.2055 0.0917 0.6320 [8 per cell]
Ho 0.0000 0.0839 0.7500 [4 per cell]

# 2
Below is an optimized crystal structure of Dy3Y2Ho8, with properties calculated at the PBE level.

Results
- E (eV per atom) = -4.71
- E_form (eV per atom) = 0.16
- energy above the most stable polymorph in this dataset (kJ/mol of atoms) = 0.0

a b c (Å): 5.5747 6.7697 22.1975
angles (deg): 90.00 90.00 90.00
Space group Immm (No. 71)
Symmetry-distinct sites (fractional):
Dy 0.0000 0.0000 0.0000 [2 per cell]
Dy 0.0000 0.2366 0.5000 [4 per cell]
Y 0.0000 0.5000 0.2232 [4 per cell]
Ho 0.0000 0.0000 0.1817 [4 per cell]
Ho 0.0000 0.2384 0.3484 [8 per cell]
Ho 0.0000 0.5000 0.0747 [4 per cell]

The highest energy above the most stable polymorph in this dataset belongs to which entry? Dy2Y6Ho

Number 2 is which compound? Dy3Y2Ho8

Among the records above, which one has the highest E_form? Dy3Y2Ho8